1.
Material: LiErMg3
Method: DFT, PBE-GGA
State: relaxed

Properties
Relative energy among the computed polymorphs   0.00 kcal/mol of atoms
ρ   3.38 g/cm³
Space group   Cmcm
Magnetic moment   0.00 μB/f.u.

Unit cell a=3.1993 b=5.1860 c=14.7088 alpha=90.00 beta=96.24 gamma=90.00
Last column: nearest neighbours and their distance in Å.
Atoms (fractional coordinates):
Li (0.7821, 0.2500, 0.5641)  7 Mg 2.92-3.22, 2 Li 3.20
Li (0.2179, 0.7500, 0.4359)  7 Mg 2.92-3.22, 2 Li 3.20
Mg (0.3179, 0.7500, 0.6358)  5 Li 2.92-3.22, 4 Mg 3.04-3.20
Mg (0.3724, 0.2500, 0.7448)  5 Mg 3.00-3.20, 2 Li 3.09
Mg (0.4748, 0.2500, 0.9496)  5 Mg 2.98-3.20
Mg (0.6276, 0.7500, 0.2552)  5 Mg 3.00-3.20, 2 Li 3.09
Mg (0.5252, 0.7500, 0.0504)  5 Mg 2.98-3.20
Mg (0.6821, 0.2500, 0.3642)  5 Li 2.92-3.22, 4 Mg 3.04-3.20
Er (0.9213, 0.7500, 0.8427)  2 Er 3.20, 12 Mg 3.37-3.43
Er (0.0787, 0.2500, 0.1573)  2 Er 3.20, 12 Mg 3.37-3.43

---

2.
Material: LiEr5Mg6
Method: DFT, PBE-GGA
State: relaxed

Properties
ρ   5.26 g/cm³
Space group   C2/m
Magnetic moment   0.00 μB/f.u.

Unit cell a=5.2772 b=7.4565 c=9.1435 alpha=65.93 beta=73.38 gamma=90.00
Last column: nearest neighbours and their distance in Å.
Atoms (fractional coordinates):
Er (0.0000, 0.5000, 0.0000)  8 Mg 3.19-3.35
Er (0.6841, 0.1825, 0.6349)  8 Mg 3.17-3.34
Er (0.3159, 0.8175, 0.3651)  8 Mg 3.17-3.34
Er (0.6651, 0.6639, 0.6716)  8 Mg 3.32-3.33, 3 Er 3.58-3.70
Er (0.3349, 0.3361, 0.3283)  8 Mg 3.32-3.33, 3 Er 3.58-3.70
Mg (0.1583, 0.9265, 0.6873)  1 Li 3.01, 7 Er 3.17-3.33
Mg (0.5002, 0.7758, 0.0001)  2 Li 3.12, 6 Er 3.32-3.35, 1 Mg 3.34
Mg (0.8417, 0.0735, 0.3127)  1 Li 3.01, 7 Er 3.17-3.33
Mg (0.8417, 0.6148, 0.3125)  1 Li 3.01, 7 Er 3.17-3.33
Mg (0.4998, 0.2242, 0.9999)  2 Li 3.12, 6 Er 3.32-3.35, 1 Mg 3.34
Mg (0.1583, 0.3852, 0.6875)  1 Li 3.01, 7 Er 3.17-3.33
Li (0.0000, 0.0000, 0.0000)  8 Mg 3.01-3.12

---

3.
Material: LiEr2Mg
Method: DFT, PBE-GGA
State: relaxed

Properties
Relative energy among the computed polymorphs   0.00 kcal/mol of atoms
ρ   5.88 g/cm³
Space group   P4/mmm
Magnetic moment   0.00 μB/f.u.

Unit cell a=3.7265 b=3.7265 c=7.4382 alpha=90.00 beta=90.00 gamma=90.00
Last column: nearest neighbours and their distance in Å.
Atoms (fractional coordinates):
Li (0.5000, 0.5000, 0.0000)  8 Er 3.23
Er (0.0000, 0.0000, 0.2500)  4 Mg 3.22, 4 Li 3.23
Er (0.0000, 0.0000, 0.7500)  4 Mg 3.22, 4 Li 3.23
Mg (0.5000, 0.5000, 0.5000)  8 Er 3.22

---

V for the records above, in order: 242.6, 312.0, 103.3 Å³/cell
Energy relative to the elements for the records above, in order: -0.02, -0.04, 0.04 eV/atom